CeHoU2P4 | PBE | relaxed

Calculated values
- space group = No. 10
- crystal system = monoclinic
- energy of formation (eV/atom) = -1.2531
- calculated total energy (eV per atom) = -8.094

```
CeHoU2P4
1.0
6.8685 0.0000 0.0000
0.0000 3.9638 0.0000
-2.2881 0.0000 6.5957
Ce Ho U P
1 1 2 4
Direct
0.0000 0.0000 0.0000
0.5000 0.5000 0.0000
0.0000 0.5000 0.5000
0.5000 0.0000 0.5000
0.2510 0.0000 0.7436
0.2563 0.5000 0.2584
0.7437 0.5000 0.7416
0.7490 0.0000 0.2564
```

=====

DyEr12Sc7 | PBE | relaxed

Calculated values
- space group = No. 204
- crystal system = cubic
- energy of formation (eV/atom) = 0.6943
- calculated total energy (eV per atom) = -4.490

```
DyEr12Sc7
1.0
-5.4324 5.4324 5.4324
5.4324 -5.4324 5.4324
5.4324 5.4324 -5.4324
Dy Er Sc
1 12 7
Direct
0.0000 0.0000 0.0000
0.0009 0.2596 0.7413
0.2587 0.5182 0.2596
0.2587 0.9991 0.7404
0.2596 0.2587 0.5182
0.2596 0.7413 0.0009
0.4818 0.7404 0.7413
0.5182 0.2596 0.2587
0.7404 0.2587 0.9991
0.7404 0.7413 0.4818
0.7413 0.0009 0.2596
0.7413 0.4818 0.7404
0.9991 0.7404 0.2587
0.0000 0.0000 0.5000
0.0000 0.5000 0.0000
0.0000 0.5000 0.5000
0.5000 0.0000 0.0000
0.5000 0.0000 0.5000
0.5000 0.5000 0.0000
0.5000 0.5000 0.5000
```

=====

CeGa8Ni2 | PBE | relaxed

Calculated values
- space group = No. 123
- crystal system = tetragonal
- energy of formation (eV/atom) = -0.0470
- calculated total energy (eV per atom) = -3.839

```
CeGa8Ni2
1.0
5.6085 0.0000 0.0000
0.0000 5.6085 0.0000
0.0000 0.0000 7.7622
Ce Ga Ni
1 8 2
Direct
0.0000 0.0000 0.0000
0.2515 0.2515 0.3123
0.2515 0.2515 0.6877
0.2515 0.7485 0.3123
0.2515 0.7485 0.6877
0.7485 0.2515 0.3123
0.7485 0.2515 0.6877
0.7485 0.7485 0.3123
0.7485 0.7485 0.6877
0.0000 0.5000 0.5000
0.5000 0.0000 0.5000
```